(1)
The following is a GGA-PBE calculation of Be2Mo after structural relaxation, from Alexandria.

Structure (POSCAR):
```
Be2Mo
1.0
2.642 0.000 0.000
-1.321 2.288 0.000
0.000 0.000 6.022
Be Mo
2 1
Cartesian
0.000 1.525 2.104
1.321 0.763 3.918
0.000 0.000 0.000
```

Output
Formation energy from the elements ... 403 meV per atom
Energy relative to the lowest polymorph listed for this composition ... 735 meV per atom



(2)
The following is a GGA-PBE calculation of BeMo after structural relaxation, from Alexandria.

Structure (POSCAR):
```
BeMo
1.0
1.351 0.780 8.396
-1.351 0.780 8.396
0.000 -1.560 8.396
Be Mo
2 2
Cartesian
0.000 0.000 3.310
0.000 0.000 21.878
0.000 0.000 9.632
0.000 0.000 15.555
```

Output
Formation energy from the elements ... 410 meV per atom
Energy relative to the lowest polymorph listed for this composition ... 647 meV per atom



(3)
The following is a GGA-PBE calculation of BeMo after structural relaxation, from Alexandria.

Structure (POSCAR):
```
BeMo
1.0
2.660 0.000 0.000
0.000 2.660 0.000
0.000 0.000 6.892
Be Mo
2 2
Cartesian
0.665 0.665 0.553
1.995 1.995 6.339
0.665 0.665 4.619
1.995 1.995 2.273
```

Output
Formation energy from the elements ... 97 meV per atom
Energy relative to the lowest polymorph listed for this composition ... 334 meV per atom



(4)
The following is a GGA-PBE calculation of BeMo after structural relaxation, from Alexandria.

Structure (POSCAR):
```
BeMo
1.0
-4.030 4.030 1.564
4.030 -4.030 1.564
4.030 4.030 -1.564
Be Mo
4 4
Cartesian
6.825 0.744 0.000
0.744 1.235 0.000
3.286 2.795 1.564
-2.795 3.286 1.564
4.595 1.562 0.000
1.562 3.465 0.000
2.468 0.565 1.564
-0.565 2.468 1.564
```

Output
Formation energy from the elements ... 348 meV per atom
Energy relative to the lowest polymorph listed for this composition ... 585 meV per atom



(5)
The following is a GGA-PBE calculation of BeMo after structural relaxation, from Alexandria.

Structure (POSCAR):
```
BeMo
1.0
4.632 0.000 0.000
0.000 4.632 0.000
0.000 0.000 4.632
Be Mo
4 4
Cartesian
0.446 1.870 2.761
1.870 2.761 0.446
2.761 0.446 1.870
4.186 4.186 4.186
0.446 4.186 1.870
1.870 0.446 4.186
2.762 2.762 2.762
4.186 1.870 0.446
```

Output
Formation energy from the elements ... 229 meV per atom
Energy relative to the lowest polymorph listed for this composition ... 466 meV per atom



(6)
The following is a GGA-PBE calculation of BeMo after structural relaxation, from Alexandria.

Structure (POSCAR):
```
BeMo
1.0
6.231 0.000 0.000
0.000 6.231 0.000
0.000 0.000 6.231
Be Mo
6 6
Cartesian
0.000 1.558 3.115
0.000 4.673 3.115
1.558 3.115 0.000
3.115 0.000 1.558
3.115 0.000 4.673
4.673 3.115 0.000
0.000 3.115 1.558
0.000 3.115 4.673
1.558 0.000 3.115
3.115 1.558 0.000
3.115 4.673 0.000
4.673 0.000 3.115
```

Output
Formation energy from the elements ... 2067 meV per atom
Energy relative to the lowest polymorph listed for this composition ... 2304 meV per atom



(7)
The following is a GGA-PBE calculation of BeMo4 after structural relaxation, from Alexandria.

Structure (POSCAR):
```
BeMo4
1.0
-2.711 2.711 2.711
2.711 -2.711 2.711
2.711 2.711 -2.711
Be Mo
1 4
Cartesian
0.000 0.000 0.000
1.356 1.356 -1.356
1.356 -1.356 1.356
-1.356 1.356 1.356
1.356 1.356 1.356
```

Output
Formation energy from the elements ... 914 meV per atom
Energy relative to the lowest polymorph listed for this composition ... 155 meV per atom



(8)
The following is a GGA-PBE calculation of BeMo4 after structural relaxation, from Alexandria.

Structure (POSCAR):
```
BeMo4
1.0
4.232 0.000 0.000
0.000 4.232 0.000
0.000 0.000 4.232
Be Mo
1 4
Cartesian
0.000 0.000 0.000
0.000 0.000 2.116
0.000 2.116 0.000
2.116 0.000 0.000
2.116 2.116 2.116
```

Output
Formation energy from the elements ... 759 meV per atom
Energy relative to the lowest polymorph listed for this composition ... 0 meV per atom